Below is a geometry-optimized TaBe2Se structure, with properties calculated at the PBE-GGA level.

Summary:
Total magnetic moment   0.00 μB/f.u.
Formation energy (no corrections)   0.34 eV per atom
ρ   8.40 g/cm3

Unit cell a=9.3766 b=3.0758 c=4.2532 alpha=90.00 beta=116.33 gamma=90.00
Space group C2/m (No. 12)
Inequivalent atoms, fractional coordinates:
1 Ta 0.0000 0.0000 0.0000 x2
2 Be 0.2327 0.0000 0.7296 x4
3 Se 0.0000 0.5000 0.5000 x2

***

Below is a geometry-optimized UHgBiAu structure, with properties calculated at the PBE-GGA level.

Summary:
Total magnetic moment   2.70 μB/f.u.
ρ   14.00 g/cm3
Formation energy from the elements   0.062 eV/atom

Unit cell a=7.3731 b=7.3731 c=7.3731 alpha=90.00 beta=90.00 gamma=90.00
Space group F-43m (No. 216)
Inequivalent atoms, fractional coordinates:
1 U 0.0000 0.0000 0.0000 x4
2 Hg 0.2500 0.2500 0.2500 x4
3 Bi 0.0000 0.0000 0.5000 x4
4 Au 0.2500 0.2500 0.7500 x4

***

Below is a geometry-optimized PuTh3In4 structure, with properties calculated at the PBE-GGA level.

Summary:
Total magnetic moment   6.18 μB/f.u.
ρ   10.43 g/cm3
Formation energy from the elements   -0.255 eV/atom

Unit cell a=4.7257 b=4.8432 c=9.7352 alpha=90.00 beta=90.00 gamma=90.00
Space group Pmmm (No. 47)
Inequivalent atoms, fractional coordinates:
1 Pu 0.0000 0.0000 0.0000 x1
2 Th 0.0000 0.0000 0.5000 x1
3 Th 0.0000 0.5000 0.2421 x2
4 In 0.5000 0.0000 0.2471 x2
5 In 0.5000 0.5000 0.0000 x1
6 In 0.5000 0.5000 0.5000 x1

***

Below is a geometry-optimized BaZn3Pt structure, with properties calculated at the PBE-GGA level.

Summary:
Total magnetic moment   0.00 μB/f.u.
ρ   7.52 g/cm3
Formation energy from the elements   -0.459 eV/atom

Unit cell a=12.2029 b=6.4863 c=7.4133 alpha=90.00 beta=127.25 gamma=90.00
Space group C2/m (No. 12)
Inequivalent atoms, fractional coordinates:
1 Ba 0.2469 0.0000 0.1579 x4
2 Zn 0.0494 0.2535 0.3017 x8
3 Zn 0.2501 0.0000 0.6653 x4
4 Pt 0.0000 0.0000 0.5000 x2
5 Pt 0.0000 0.5000 0.0000 x2

***

Number 1: Fermi-level density of states 0.51 states/eV/atom. Number 2: Fermi-level density of states 2.26 states/eV/atom. Number 3: Fermi-level density of states 1.63 states/eV/atom. Number 4: Fermi-level density of states 0.55 states/eV/atom.